(1)
A geometry-optimized SrHPt structure, computed with PBE.

Values from the calculation:
- final energy (eV/atom) = -4.341
- SG = No. 11
- density of states at the Fermi level (states/eV/cell) = 1.8
- V (Å³/f.u.) = 61.0
- relative energy among the computed polymorphs (kJ per mole of atoms) = 5.8

Geometry as extended XYZ:
```
6
Lattice="4.171 0.000 0.663 0.000 4.202 0.000 1.000 0.000 7.124" Properties=species:S:1:pos:R:3 pbc="T T T"
Sr 1.973 3.011 1.282
Sr 1.421 0.910 4.780
H 4.158 0.906 0.872
H 3.402 3.008 5.853
Pt 3.913 0.910 2.528
Pt 3.653 3.011 4.197
```

(2)
A geometry-optimized Tb4Pr8Sm structure, computed with PBE.

Values from the calculation:
- final energy (eV/atom) = -4.553
- SG = No. 12
- density of states at the Fermi level (states/eV/cell) = 13.3
- formation enthalpy at 0 K (meV/atom) = 176
- V (Å³/f.u.) = 457.4

Geometry as extended XYZ:
```
13
Lattice="-1.482 -4.778 5.446 6.951 0.870 -2.361 0.005 9.911 3.662" Properties=species:S:1:pos:R:3 pbc="T T T"
Pr -0.002 2.612 7.307
Pr 4.618 1.506 2.573
Pr 1.660 2.914 0.736
Pr 0.855 4.497 4.174
Pr 0.991 0.759 3.193
Pr 5.475 3.391 -0.561
Pr 3.814 3.089 6.010
Pr 4.482 5.243 3.554
Tb -0.741 -2.389 2.723
Tb 2.734 -1.954 1.543
Tb 3.475 0.435 -1.181
Tb 0.000 0.000 0.000
Sm 3.478 5.390 0.650
```

(3)
A geometry-optimized BaZnP2 structure, computed with PBE.

Values from the calculation:
- final energy (eV/atom) = -3.821
- SG = No. 8
- density of states at the Fermi level (states/eV/cell) = 0.6
- formation enthalpy at 0 K (meV/atom) = -317
- V (Å³/f.u.) = 95.7

Geometry as extended XYZ:
```
4
Lattice="-1.937 -1.607 5.971 -2.360 -4.713 3.770 3.548 -1.468 1.389" Properties=species:S:1:pos:R:3 pbc="T T T"
Zn -0.424 -4.172 5.968
P 0.159 -1.370 1.902
P 0.120 -0.106 0.127
Ba -0.978 -6.032 8.699
```

(4)
A geometry-optimized Ho13Er2 structure, computed with PBE.

Values from the calculation:
- final energy (eV/atom) = -3.970
- SG = No. 166
- density of states at the Fermi level (states/eV/cell) = 18.9
- formation enthalpy at 0 K (meV/atom) = 606
- V (Å³/f.u.) = 524.3
- relative energy among the computed polymorphs (kJ per mole of atoms) = 53.4

Geometry as extended XYZ:
```
15
Lattice="7.565 0.000 4.346 2.534 7.127 4.346 -0.372 -0.262 9.404" Properties=species:S:1:pos:R:3 pbc="T T T"
Ho 7.636 5.389 7.458
Ho 6.699 2.755 5.852
Ho 4.863 3.433 9.048
Ho 4.840 5.389 5.852
Ho 2.091 1.476 10.637
Ho 9.722 6.861 14.926
Ho 4.887 1.476 12.243
Ho 8.107 2.321 12.158
Ho 0.005 0.004 3.169
Ho 3.028 4.110 12.243
Ho 4.825 0.004 5.937
Ho 1.620 4.545 5.937
Ho 4.902 6.861 12.158
Er 2.355 1.662 4.657
Er 7.371 5.203 13.438
```

(5)
A geometry-optimized ZrCo3Br structure, computed with PBE.

Values from the calculation:
- final energy (eV/atom) = -4.807
- SG = No. 221
- formation energy without anion corrections (eV per atom) = 1.50
- density of states at the Fermi level (states/eV/cell) = 2.6
- V (Å³/f.u.) = 106.4
- relative energy among the computed polymorphs (kJ per mole of atoms) = 64.5

Geometry as extended XYZ:
```
5
Lattice="4.738 0.000 0.000 0.000 4.738 0.000 0.000 0.000 4.738" Properties=species:S:1:pos:R:3 pbc="T T T"
Co 0.000 2.369 0.000
Co 0.000 0.000 2.369
Co 2.369 0.000 0.000
Br 2.369 2.369 2.369
Zr 0.000 0.000 0.000
```

(6)
A geometry-optimized TaIn2Pt structure, computed with PBE.

Values from the calculation:
- final energy (eV/atom) = -5.903
- SG = No. 123
- density of states at the Fermi level (states/eV/cell) = 2.2
- formation enthalpy at 0 K (meV/atom) = -60
- V (Å³/f.u.) = 75.4
- relative energy among the computed polymorphs (kJ per mole of atoms) = 7.2

Geometry as extended XYZ:
```
4
Lattice="3.002 0.000 0.000 0.000 3.001 0.000 0.000 0.000 8.369" Properties=species:S:1:pos:R:3 pbc="T T T"
In 0.000 0.000 4.060
In 0.000 0.000 0.125
Ta 1.501 1.501 6.277
Pt 1.501 1.501 2.092
```

(7)
A geometry-optimized Nd2SN structure, computed with PBE.

Values from the calculation:
- final energy (eV/atom) = -6.963
- SG = No. 59
- formation energy without anion corrections (eV per atom) = -1.47
- density of states at the Fermi level (states/eV/cell) = 2.9
- V (Å³/f.u.) = 83.7
- relative energy among the computed polymorphs (kJ per mole of atoms) = 24.7

Geometry as extended XYZ:
```
8
Lattice="3.757 0.000 0.000 0.000 6.805 0.000 0.000 0.000 6.549" Properties=species:S:1:pos:R:3 pbc="T T T"
N 0.000 2.884 0.000
N 1.878 3.921 3.275
Nd 1.878 1.942 1.588
Nd 1.878 1.942 4.961
Nd 0.000 4.863 4.863
Nd 0.000 4.863 1.686
S 0.000 0.525 3.275
S 1.878 6.280 0.000
```

(8)
A geometry-optimized Ce3Al9Ge2 structure, computed with PBE.

Values from the calculation:
- final energy (eV/atom) = -4.662
- SG = No. 71
- density of states at the Fermi level (states/eV/cell) = 17.5
- formation enthalpy at 0 K (meV/atom) = -324
- V (Å³/f.u.) = 281.6

Geometry as extended XYZ:
```
14
Lattice="-3.703 2.422 -0.749 -3.623 -3.452 -6.692 -6.349 -4.714 2.701" Properties=species:S:1:pos:R:3 pbc="T T T"
Ce -8.003 -4.841 -2.973
Ce -5.672 -0.903 -1.767
Ce 0.000 0.000 0.000
Al -11.160 -5.396 -2.605
Al -2.515 -0.348 -2.136
Al -10.188 -3.429 -1.053
Al -8.943 -2.853 -5.343
Al -3.230 -0.679 0.330
Al -4.732 -2.891 0.603
Al -4.986 -4.083 -1.995
Al -10.444 -5.065 -5.071
Al -3.487 -2.315 -3.687
Ge -6.269 -2.609 -4.328
Ge -7.406 -3.135 -0.412
```

(9)
A geometry-optimized Li4TaP structure, computed with PBE.

Values from the calculation:
- final energy (eV/atom) = -3.719
- SG = No. 216
- density of states at the Fermi level (states/eV/cell) = 3.3
- formation enthalpy at 0 K (meV/atom) = 434
- V (Å³/f.u.) = 82.1

Geometry as extended XYZ:
```
6
Lattice="-2.614 -4.090 -0.481 -2.234 -1.937 3.879 -4.863 0.158 0.345" Properties=species:S:1:pos:R:3 pbc="T T T"
Li -6.058 -2.132 1.580
Li -4.760 -3.166 3.325
Li -3.657 -2.210 1.410
Li -4.947 -4.229 1.172
Ta 0.000 0.000 0.000
P -7.283 -4.401 2.808
```

(10)
A geometry-optimized TiCo2TeMo structure, computed with PBE.

Values from the calculation:
- final energy (eV/atom) = -6.102
- SG = No. 123
- formation energy without anion corrections (eV per atom) = 1.11
- density of states at the Fermi level (states/eV/cell) = 10.5
- V (Å³/f.u.) = 99.8

Geometry as extended XYZ:
```
5
Lattice="4.416 0.000 0.000 0.000 5.117 0.000 0.000 0.000 4.416" Properties=species:S:1:pos:R:3 pbc="T T T"
Co 0.000 0.000 2.208
Co 2.208 0.000 0.000
Mo 0.000 0.000 0.000
Te 0.000 2.558 0.000
Ti 2.208 2.558 2.208
```

(11)
A geometry-optimized CaTc structure, computed with PBE.

Values from the calculation:
- final energy (eV/atom) = -5.745
- SG = No. 38
- density of states at the Fermi level (states/eV/cell) = 9.1
- formation enthalpy at 0 K (meV/atom) = 439
- V (Å³/f.u.) = 51.2
- relative energy among the computed polymorphs (kJ per mole of atoms) = 21.9

Geometry as extended XYZ:
```
12
Lattice="-3.148 0.910 1.753 -2.707 -9.225 -0.074 3.876 -1.198 7.581" Properties=species:S:1:pos:R:3 pbc="T T T"
Tc 1.945 -7.255 7.258
Tc 0.724 -5.286 7.981
Tc -0.473 -8.292 3.454
Tc 2.819 -4.279 7.281
Tc 0.139 -0.075 4.227
Tc 1.361 -2.044 3.504
Ca 0.831 -2.161 6.553
Ca 0.510 -0.158 0.998
Ca 1.095 -5.369 4.751
Ca -0.868 -7.952 6.506
Ca -1.452 -2.741 2.752
Ca -2.460 -6.175 2.725
```

(12)
A geometry-optimized La2AlSb structure, computed with PBE.

Values from the calculation:
- final energy (eV/atom) = -4.812
- SG = No. 160
- formation energy without anion corrections (eV per atom) = -0.38
- density of states at the Fermi level (states/eV/cell) = 1.7
- V (Å³/f.u.) = 120.7
- relative energy among the computed polymorphs (kJ per mole of atoms) = 36.2

Geometry as extended XYZ:
```
4
Lattice="6.024 -0.748 -0.462 4.457 4.122 -0.462 4.457 1.435 3.892" Properties=species:S:1:pos:R:3 pbc="T T T"
Sb 6.734 2.168 1.338
La 3.294 1.060 0.655
La 0.433 0.139 0.086
Al 11.947 3.846 2.374
```

(13)
A geometry-optimized Zn2NiMo structure, computed with PBE.

Values from the calculation:
- final energy (eV/atom) = -4.629
- SG = No. 216
- density of states at the Fermi level (states/eV/cell) = 4.7
- formation enthalpy at 0 K (meV/atom) = 161
- V (Å³/f.u.) = 55.1
- relative energy among the computed polymorphs (kJ per mole of atoms) = 20.9

Geometry as extended XYZ:
```
4
Lattice="-2.555 -0.361 3.403 -4.148 -0.869 -0.527 -1.539 -3.823 1.119" Properties=species:S:1:pos:R:3 pbc="T T T"
Zn -6.182 -3.790 2.996
Zn 0.000 0.000 0.000
Ni -2.061 -1.263 0.999
Mo -4.121 -2.527 1.997
```

(14)
A geometry-optimized CaDy2HgPd4 structure, computed with PBE.

Values from the calculation:
- final energy (eV/atom) = -4.758
- SG = No. 166
- density of states at the Fermi level (states/eV/cell) = 2.6
- formation enthalpy at 0 K (meV/atom) = -724
- V (Å³/f.u.) = 164.8

Geometry as extended XYZ:
```
8
Lattice="4.870 0.000 0.000 2.435 4.217 0.000 2.435 1.406 8.024" Properties=species:S:1:pos:R:3 pbc="T T T"
Dy 7.304 4.217 5.865
Dy 2.435 1.406 2.158
Hg 4.870 2.811 4.012
Pd 7.304 4.217 2.957
Pd 4.870 2.811 1.015
Pd 4.870 2.811 7.009
Pd 2.435 1.406 5.066
Ca 0.000 0.000 0.000
```

(15)
A geometry-optimized NaAl8 structure, computed with PBE.

Values from the calculation:
- final energy (eV/atom) = -3.388
- SG = No. 139
- density of states at the Fermi level (states/eV/cell) = 3.3
- formation enthalpy at 0 K (meV/atom) = 85
- V (Å³/f.u.) = 159.0

Geometry as extended XYZ:
```
9
Lattice="4.130 0.000 0.000 2.065 6.205 0.000 2.065 0.000 6.205" Properties=species:S:1:pos:R:3 pbc="T T T"
Na 0.000 0.000 0.000
Al 4.130 4.098 4.098
Al 2.065 2.107 4.098
Al 2.065 4.098 2.107
Al 4.130 2.107 2.107
Al 4.130 4.051 0.000
Al 2.065 0.000 2.154
Al 2.065 2.154 0.000
Al 4.130 0.000 4.051
```

(16)
A geometry-optimized TaCo structure, computed with PBE.

Values from the calculation:
- final energy (eV/atom) = -9.404
- SG = No. 227
- density of states at the Fermi level (states/eV/cell) = 0.8
- formation enthalpy at 0 K (meV/atom) = 75
- V (Å³/f.u.) = 28.2

Geometry as extended XYZ:
```
4
Lattice="4.306 0.008 0.005 2.146 3.733 0.005 2.146 1.244 3.520" Properties=species:S:1:pos:R:3 pbc="T T T"
Ta 7.524 4.362 3.089
Ta 1.075 0.623 0.441
Co 3.224 1.869 1.324
Co 5.375 3.116 2.207
```

(17)
A geometry-optimized In2Te4Au3 structure, computed with PBE.

Values from the calculation:
- final energy (eV/atom) = -3.128
- SG = No. 15
- formation energy without anion corrections (eV per atom) = -0.03
- density of states at the Fermi level (states/eV/cell) = 6.2
- V (Å³/f.u.) = 307.4

Geometry as extended XYZ:
```
18
Lattice="-0.942 -8.431 0.928 8.733 4.180 3.438 1.307 5.570 8.533" Properties=species:S:1:pos:R:3 pbc="T T T"
Te 2.281 1.772 9.473
Te 6.783 1.806 7.843
Te 2.316 -0.487 5.057
Te 3.257 -4.966 4.553
Te 5.841 6.286 8.347
Te 8.795 4.855 4.862
Te 6.817 -0.452 3.427
Te 0.303 -3.536 8.038
Au 2.716 -0.787 10.208
Au 6.382 2.107 2.692
Au 3.752 -1.343 7.067
Au 8.686 2.398 5.971
Au 5.346 2.662 5.833
Au 0.412 -1.079 6.929
In 1.670 2.026 3.560
In 2.729 -2.476 2.974
In 6.369 3.795 9.926
In 7.429 -0.706 9.340
```

(18)
A geometry-optimized RbMnTe2 structure, computed with PBE.

Values from the calculation:
- final energy (eV/atom) = -4.639
- SG = No. 62
- formation energy without anion corrections (eV per atom) = -0.53
- density of states at the Fermi level (states/eV/cell) = 3.7
- V (Å³/f.u.) = 136.7

Geometry as extended XYZ:
```
16
Lattice="-3.589 3.279 -1.873 -4.376 -0.746 7.080 6.296 9.697 4.914" Properties=species:S:1:pos:R:3 pbc="T T T"
Rb -0.920 1.161 2.894
Rb 0.598 9.837 7.930
Rb -1.531 3.217 7.665
Rb 1.209 7.782 3.159
Mn -5.311 2.407 6.238
Mn -1.615 5.103 3.875
Mn 1.291 5.898 6.947
Mn 4.987 8.594 4.584
Te -1.199 6.769 5.998
Te 0.373 6.328 9.464
Te -0.695 4.670 1.360
Te 3.211 7.702 6.431
Te 0.876 4.231 4.825
Te -3.770 0.073 6.446
Te 3.446 10.927 4.376
Te -3.532 3.296 4.393
```

(19)
A geometry-optimized AgIrW2 structure, computed with PBE.

Values from the calculation:
- final energy (eV/atom) = -9.139
- SG = No. 47
- density of states at the Fermi level (states/eV/cell) = 2.8
- formation enthalpy at 0 K (meV/atom) = 265
- V (Å³/f.u.) = 63.2
- relative energy among the computed polymorphs (kJ per mole of atoms) = 2.7

Geometry as extended XYZ:
```
4
Lattice="-2.537 0.424 -1.005 -1.192 -3.677 1.458 -1.493 2.376 4.773" Properties=species:S:1:pos:R:3 pbc="T T T"
Ir -2.984 0.155 3.806
Ag -2.238 -1.033 1.420
W -1.475 2.348 4.715
W -0.764 1.217 2.444
```

(20)
A geometry-optimized LiSmHoPd structure, computed with PBE.

Values from the calculation:
- final energy (eV/atom) = -4.483
- SG = No. 216
- density of states at the Fermi level (states/eV/cell) = 2.9
- formation enthalpy at 0 K (meV/atom) = -382
- V (Å³/f.u.) = 92.2

Geometry as extended XYZ:
```
4
Lattice="5.071 0.000 0.000 2.535 4.392 0.000 2.535 1.464 4.140" Properties=species:S:1:pos:R:3 pbc="T T T"
Li 0.000 0.000 0.000
Pd 5.071 2.928 2.070
Ho 7.606 4.392 3.105
Sm 2.535 1.464 1.035
```